InSe2Br | GGA-PBE | optimized geometry

Unit cell a=4.601 b=4.601 c=7.955 alpha=77.22 beta=77.22 gamma=55.86
Atoms (fractional coordinates):
Se: 0.704 0.704 0.853
Se: 0.930 0.930 0.979
Br: 0.558 0.558 0.430
In: 0.307 0.307 0.238

- Calculated density: 4.34 g/cm³
- Calculated volume: 134.9 Å³/f.u.
- Raw total energy: -12.18 eV for the cell shown